No. 1
## Na2GeH6 (PBE-GGA)

Data for a relaxed Na2GeH6 crystal.

a b c (Å): 5.0772 5.0772 5.0772
angles (deg): 60.00 60.00 60.00
With the nearest neighbours (Å) after each atom.
Element x y z (fractional)
H1 0.2373 0.7627 0.2373  1 Ge 1.70
Na1 0.7500 0.7500 0.7500  12 H 2.54
Na2 0.2500 0.2500 0.2500  12 H 2.54
Ge1 0.0000 0.0000 0.0000  6 H 1.70
H2 0.7627 0.2373 0.7627  1 Ge 1.70
H3 0.7627 0.2373 0.2373  1 Ge 1.70
H4 0.7627 0.7627 0.2373  1 Ge 1.70
H5 0.2373 0.7627 0.7627  1 Ge 1.70
H6 0.2373 0.2373 0.7627  1 Ge 1.70

Calculated values
D(E_F) ... 0.37 states/eV/cell
Polymorph energy (0 for the lowest one) ... 0.017 eV per atom
Symmetry ... Fm-3m
Volume ... 10.283 Å³ per atom
Raw total energy ... -2.947 eV/atom



No. 2
## BaCa2W (PBE-GGA)

Data for a relaxed BaCa2W crystal.

a b c (Å): 5.2243 5.0377 5.0377
angles (deg): 90.00 90.00 90.00
With the nearest neighbours (Å) after each atom.
Element x y z (fractional)
Ca1 0.0000 0.5000 0.5000  4 Ca 3.56, 4 W 3.63, 4 Ba 3.63
Ca2 0.0000 0.0000 0.0000  4 Ca 3.56, 4 W 3.63, 4 Ba 3.63
W1 0.5000 0.5000 0.0000  4 Ba 3.56, 8 Ca 3.63
Ba1 0.5000 0.0000 0.5000  4 W 3.56, 8 Ca 3.63

Calculated values
D(E_F) ... 5.10 states/eV/cell
Polymorph energy (0 for the lowest one) ... 0.230 eV per atom
Symmetry ... P4/mmm
Volume ... 33.146 Å³ per atom
Formation energy from the elements ... 1083 meV per atom
Raw total energy ... -3.637 eV/atom



No. 3
## BeInTe (PBE-GGA)

Data for a relaxed BeInTe crystal.

a b c (Å): 7.0406 6.5836 3.7223
angles (deg): 81.04 67.47 31.48
With the nearest neighbours (Å) after each atom.
Element x y z (fractional)
In1 0.6381 0.6381 0.3619  2 Be 2.75
Te1 0.3776 0.3776 0.6224  2 Be 2.37
Be1 0.9843 0.9843 0.0157  2 Te 2.37

Calculated values
D(E_F) ... 1.31 states/eV/cell
Uncorrected formation energy ... 0.26 eV per atom
Polymorph energy (0 for the lowest one) ... 0.250 eV per atom
Symmetry ... Fmm2
Volume ... 25.941 Å³ per atom
Raw total energy ... -2.938 eV/atom



No. 4
## BaLiScAs2 (PBE-GGA)

Data for a relaxed BaLiScAs2 crystal.

a b c (Å): 4.3509 4.3509 7.4404
angles (deg): 107.00 107.00 90.00
With the nearest neighbours (Å) after each atom.
Element x y z (fractional)
Ba1 0.0000 0.0000 0.0000  8 As 3.61, 4 Li 4.03, 4 Sc 4.03
Li1 0.7500 0.2500 0.5000  4 As 2.65
As1 0.3612 0.3612 0.7224  2 Sc 2.65, 2 Li 2.65
Sc1 0.2500 0.7500 0.5000  4 As 2.65
As2 0.6388 0.6388 0.2776  2 Li 2.65, 2 Sc 2.65

Calculated values
Symmetry ... I-4m2
Volume ... 25.649 Å³ per atom
Formation energy from the elements ... -1110 meV per atom
Raw total energy ... -5.003 eV/atom



No. 5
## BeCrRe (PBE-GGA)

Data for a relaxed BeCrRe crystal.

a b c (Å): 4.0509 4.0509 2.5498
angles (deg): 90.00 90.00 120.00
With the nearest neighbours (Å) after each atom.
Element x y z (fractional)
Be1 0.0000 0.0000 0.0250  3 Cr 2.47, 3 Re 2.54, 2 Be 2.55
Cr1 0.3333 0.6667 0.3424  3 Re 2.45, 3 Be 2.47, 2 Cr 2.55
Re1 0.6667 0.3333 0.6327  3 Cr 2.45, 3 Be 2.54, 2 Re 2.55

Calculated values
D(E_F) ... 1.97 states/eV/cell
Polymorph energy (0 for the lowest one) ... 0.151 eV per atom
Symmetry ... P3m1
Volume ... 12.079 Å³ per atom
Formation energy from the elements ... -5 meV per atom
Raw total energy ... -8.604 eV/atom



No. 6
## MnCu2Pd6 (PBE-GGA)

Data for a relaxed MnCu2Pd6 crystal.

a b c (Å): 3.9381 4.7027 8.3103
angles (deg): 71.55 76.29 65.25
With the nearest neighbours (Å) after each atom.
Element x y z (fractional)
Pd1 0.9989 0.1777 0.8245  1 Mn 2.64, 3 Cu 2.70-2.71, 8 Pd 2.72-2.87
Pd2 0.3327 0.2783 0.0563  3 Cu 2.71-2.76, 9 Pd 2.72-2.82
Pd3 0.6639 0.0659 0.6064  4 Cu 2.68-2.75, 3 Mn 2.70-2.76, 5 Pd 2.76
Cu1 0.3292 0.6171 0.7245  10 Pd 2.68-2.76, 2 Mn 2.80
Mn1 0.0000 0.5000 0.5000  8 Pd 2.64-2.76, 4 Cu 2.80
Pd4 0.6673 0.7217 0.9437  3 Cu 2.71-2.76, 9 Pd 2.72-2.82
Pd5 0.3361 0.9341 0.3936  4 Cu 2.68-2.75, 3 Mn 2.70-2.76, 5 Pd 2.76
Pd6 0.0011 0.8223 0.1755  1 Mn 2.64, 3 Cu 2.70-2.71, 8 Pd 2.72-2.87
Cu2 0.6708 0.3829 0.2755  10 Pd 2.68-2.76, 2 Mn 2.80

Calculated values
D(E_F) ... 8.16 states/eV/cell
Polymorph energy (0 for the lowest one) ... 0.000 eV per atom
Symmetry ... C2/m
Volume ... 14.623 Å³ per atom
Formation energy from the elements ... -138 meV per atom
Raw total energy ... -5.529 eV/atom



No. 7
## Tl2PPt2 (PBE-GGA)

Data for a relaxed Tl2PPt2 crystal.

a b c (Å): 6.1085 6.1085 6.0304
angles (deg): 90.00 90.00 90.00
With the nearest neighbours (Å) after each atom.
Element x y z (fractional)
P1 0.0000 0.0000 0.0000  4 Pt 2.30
Tl1 0.6881 0.8119 0.5000  5 Tl 3.15-3.25, 2 Pt 3.29
Tl2 0.3119 0.1881 0.5000  5 Tl 3.15-3.25, 2 Pt 3.29
Pt1 0.3404 0.8404 0.0000  2 P 2.30
Pt2 0.1596 0.3404 0.0000  2 P 2.30
Tl3 0.1881 0.6881 0.5000  5 Tl 3.15-3.25, 2 Pt 3.29
Pt3 0.6596 0.1596 0.0000  2 P 2.30
Pt4 0.8404 0.6596 0.0000  2 P 2.30
P2 0.5000 0.5000 0.0000  4 Pt 2.30
Tl4 0.8119 0.3119 0.5000  5 Tl 3.15-3.25, 2 Pt 3.29

Calculated values
D(E_F) ... 6.23 states/eV/cell
Polymorph energy (0 for the lowest one) ... 0.000 eV per atom
Symmetry ... P4/mbm
Volume ... 22.502 Å³ per atom
Formation energy from the elements ... -31 meV per atom
Raw total energy ... -4.476 eV/atom



No. 8
## Sm6P2SCl3 (PBE-GGA)

Data for a relaxed Sm6P2SCl3 crystal.

a b c (Å): 4.1157 8.1850 9.2030
angles (deg): 104.20 102.92 90.00
With the nearest neighbours (Å) after each atom.
Element x y z (fractional)
Sm1 0.0071 0.2262 0.0143  2 S 2.75, 1 P 2.76, 3 Cl 3.07-3.08
P1 0.8344 0.6672 0.6688  6 Sm 2.76-2.77
Sm2 0.6577 0.1038 0.3154  1 S 2.74, 2 P 2.76, 3 Cl 3.02-3.05
Sm3 0.3251 0.4362 0.6503  3 P 2.77, 3 Cl 3.05
Cl1 0.5000 0.5000 0.0000  6 Sm 3.05-3.07
Sm4 0.9929 0.7738 0.9857  2 S 2.75, 1 P 2.76, 3 Cl 3.07-3.08
Sm5 0.6749 0.5638 0.3497  3 P 2.77, 3 Cl 3.05
Cl2 0.1693 0.8357 0.3386  6 Sm 3.02-3.08
Cl3 0.8307 0.1643 0.6614  6 Sm 3.02-3.08
S1 0.5000 0.0000 0.0000  6 Sm 2.74-2.75
Sm6 0.3423 0.8962 0.6846  1 S 2.74, 2 P 2.76, 3 Cl 3.02-3.05
P2 0.1656 0.3328 0.3312  6 Sm 2.76-2.77

Calculated values
D(E_F) ... 4.57 states/eV/cell
Uncorrected formation energy ... -1.62 eV per atom
Symmetry ... C2/m
Volume ... 24.370 Å³ per atom
Raw total energy ... -5.690 eV/atom



No. 9
## Sc2FeSb (PBE-GGA)

Data for a relaxed Sc2FeSb crystal.

a b c (Å): 9.5300 9.5300 9.5300
angles (deg): 20.00 20.00 20.00
With the nearest neighbours (Å) after each atom.
Element x y z (fractional)
Sc1 0.1062 0.1062 0.1062  3 Fe 2.55
Fe1 0.5000 0.5000 0.5000  6 Sc 2.55
Sb1 0.0000 0.0000 0.0000  2 Sc 2.97, 6 Sb 3.31
Sc2 0.8938 0.8938 0.8938  3 Fe 2.55

Calculated values
D(E_F) ... 4.28 states/eV/cell
Uncorrected formation energy ... 0.10 eV per atom
Symmetry ... R-3m
Volume ... 22.140 Å³ per atom
Raw total energy ... -6.209 eV/atom



No. 10
## KBaGeI2 (PBE-GGA)

Data for a relaxed KBaGeI2 crystal.

a b c (Å): 6.2519 6.2346 6.2519
angles (deg): 90.00 90.00 90.00
With the nearest neighbours (Å) after each atom.
Element x y z (fractional)
K1 0.5000 0.5000 0.5000  8 I 4.41, 4 Ba 4.42
Ba1 0.0000 0.5000 0.0000  2 Ge 3.12
I1 0.0000 0.0000 0.5000  2 Ge 3.13
Ge1 0.0000 0.0000 0.0000  2 Ba 3.12, 4 I 3.13
I2 0.5000 0.0000 0.0000  2 Ge 3.13

Calculated values
D(E_F) ... 5.50 states/eV/cell
Uncorrected formation energy ... -0.38 eV per atom
Symmetry ... P4/mmm
Volume ... 48.738 Å³ per atom
Raw total energy ... -2.530 eV/atom



No. 11
## LiPrMgZn2 (PBE-GGA)

Data for a relaxed LiPrMgZn2 crystal.

a b c (Å): 4.1671 4.1671 6.9433
angles (deg): 107.46 107.46 90.00
With the nearest neighbours (Å) after each atom.
Element x y z (fractional)
Zn1 0.6039 0.6039 0.2078  1 Zn 2.61, 2 Li 2.78, 2 Mg 2.78
Zn2 0.3961 0.3961 0.7922  1 Zn 2.61, 2 Mg 2.78, 2 Li 2.78
Li1 0.2500 0.7500 0.5000  4 Zn 2.78, 4 Mg 2.95
Pr1 0.0000 0.0000 0.0000  8 Zn 3.22
Mg1 0.7500 0.2500 0.5000  4 Zn 2.78, 4 Li 2.95

Calculated values
D(E_F) ... 4.03 states/eV/cell
Symmetry ... I-4m2
Volume ... 21.835 Å³ per atom
Formation energy from the elements ... -195 meV per atom
Raw total energy ... -2.362 eV/atom



No. 12
## Cr2SbI (PBE-GGA)

Data for a relaxed Cr2SbI crystal.

a b c (Å): 7.1051 7.1051 6.8153
angles (deg): 58.58 58.58 90.00
With the nearest neighbours (Å) after each atom.
Element x y z (fractional)
Cr1 0.1440 0.6250 0.2500  2 Sb 2.68, 2 I 2.85
I1 0.0000 0.0000 0.0000  4 Cr 2.85
Cr2 0.8750 0.8560 0.7500  2 Sb 2.68, 2 I 2.85
Sb1 0.5000 0.5000 0.0000  4 Cr 2.68
Cr3 0.6060 0.1250 0.2500  2 Sb 2.68, 2 I 2.85
Sb2 0.2500 0.7500 0.5000  4 Cr 2.68
I2 0.7500 0.2500 0.5000  4 Cr 2.85
Cr4 0.3750 0.3940 0.7500  2 Sb 2.68, 2 I 2.85

Calculated values
D(E_F) ... 0.90 states/eV/cell
Uncorrected formation energy ... 0.43 eV per atom
Polymorph energy (0 for the lowest one) ... 0.000 eV per atom
Symmetry ... I-42d
Volume ... 29.060 Å³ per atom
Raw total energy ... -5.800 eV/atom



No. 13
## Sm4GeS2O (PBE-GGA)

Data for a relaxed Sm4GeS2O crystal.

a b c (Å): 5.7236 5.7236 6.9034
angles (deg): 114.62 114.62 89.72
With the nearest neighbours (Å) after each atom.
Element x y z (fractional)
Sm1 0.6793 0.6793 0.4808  1 O 2.72, 4 S 2.86-2.87, 1 Ge 2.90
O1 0.3870 0.3870 0.0000  2 Sm 2.31
S1 0.6900 0.1900 0.5000  6 Sm 2.81-2.87
Ge1 0.9332 0.9332 0.0000  6 Sm 2.88-2.90
Sm2 0.1985 0.1985 0.5192  1 O 2.72, 4 S 2.86-2.87, 1 Ge 2.90
Sm3 0.9861 0.4332 0.0000  1 O 2.31
Sm4 0.4332 0.9861 0.0000  1 O 2.31
S2 0.1900 0.6900 0.5000  6 Sm 2.81-2.87

Calculated values
D(E_F) ... 2.30 states/eV/cell
Uncorrected formation energy ... -1.88 eV per atom
Symmetry ... Fmm2
Volume ... 22.872 Å³ per atom
Raw total energy ... -6.467 eV/atom



No. 14
## La6Co2Sb (PBE-GGA)

Data for a relaxed La6Co2Sb crystal.

a b c (Å): 8.8582 8.8582 8.8582
angles (deg): 107.00 105.47 116.17
With the nearest neighbours (Å) after each atom.
Element x y z (fractional)
Sb1 0.0000 0.0000 0.0000  8 La 3.20-3.41
La1 0.5209 0.6971 0.8238  2 Co 2.98
La2 0.3086 0.9813 0.6728  3 Co 2.74-2.95
La3 0.2165 0.7917 0.0082  1 Co 2.70
Co1 0.5000 0.3694 0.8694  6 La 2.74-2.98, 1 Co 2.75
Co2 0.6374 0.0000 0.6374  6 La 2.70-2.95, 1 Co 2.95
La4 0.8733 0.6971 0.1762  2 Co 2.98
Sb2 0.0000 0.5000 0.5000  4 La 3.42
La5 0.7835 0.2083 0.9918  1 Co 2.70
La6 0.6914 0.3642 0.6728  3 Co 2.74-2.95
Co3 0.3626 0.0000 0.3626  6 La 2.70-2.95, 1 Co 2.95
Co4 0.5000 0.6306 0.1306  6 La 2.74-2.98, 1 Co 2.75
La7 0.2165 0.2083 0.4249  1 Co 2.70
La8 0.6914 0.0187 0.3272  3 Co 2.74-2.95
La9 0.4791 0.3029 0.1762  2 Co 2.98
La10 0.1267 0.3029 0.8238  2 Co 2.98
La11 0.3086 0.6358 0.3272  3 Co 2.74-2.95
La12 0.7835 0.7917 0.5751  1 Co 2.70

Calculated values
D(E_F) ... 17.99 states/eV/cell
Uncorrected formation energy ... -0.32 eV per atom
Symmetry ... Immm
Volume ... 29.414 Å³ per atom
Raw total energy ... -5.637 eV/atom



No. 15
## Mg2CdTe (PBE-GGA)

Data for a relaxed Mg2CdTe crystal.

a b c (Å): 5.2671 5.2671 5.2671
angles (deg): 60.00 60.00 60.00
With the nearest neighbours (Å) after each atom.
Element x y z (fractional)
Mg1 0.2500 0.2500 0.2500  4 Mg 3.23, 4 Cd 3.23
Mg2 0.0000 0.0000 0.0000  4 Te 3.23, 4 Mg 3.23
Te1 0.7500 0.7500 0.7500  4 Cd 3.23, 4 Mg 3.23
Cd1 0.5000 0.5000 0.5000  4 Mg 3.23, 4 Te 3.23

Calculated values
D(E_F) ... 1.84 states/eV/cell
Uncorrected formation energy ... 0.01 eV per atom
Polymorph energy (0 for the lowest one) ... 0.285 eV per atom
Symmetry ... F-43m
Volume ... 25.832 Å³ per atom
Raw total energy ... -1.804 eV/atom



No. 16
## HoPa2NbN6 (PBE-GGA)

Data for a relaxed HoPa2NbN6 crystal.

a b c (Å): 5.7954 5.7954 5.9718
angles (deg): 60.97 60.97 60.00
With the nearest neighbours (Å) after each atom.
Element x y z (fractional)
N1 0.1430 0.4055 0.7502  2 Pa 2.25, 1 Ho 2.27, 1 Nb 2.30
Nb1 0.3066 0.3066 0.0802  3 N 2.03
Pa1 0.5222 0.5222 0.4333  6 N 2.25-2.37
Pa2 0.0232 0.0232 0.9304  6 N 2.25-2.34
Ho1 0.7991 0.7991 0.6028  6 N 2.27-2.53
N2 0.4055 0.7013 0.7502  2 Pa 2.25, 1 Ho 2.27, 1 Nb 2.30
N3 0.9563 0.5973 0.2393  1 Nb 2.03
N4 0.2071 0.9563 0.2393  1 Nb 2.03
N5 0.5973 0.2072 0.2393  1 Nb 2.03
N6 0.7013 0.1430 0.7502  2 Pa 2.25, 1 Ho 2.27, 1 Nb 2.30

Calculated values
D(E_F) ... 0.00 states/eV/cell
Uncorrected formation energy ... -1.43 eV per atom
Symmetry ... R3
Volume ... 14.387 Å³ per atom
Raw total energy ... -9.788 eV/atom



No. 17
## Pr3Sm5Dy3 (PBE-GGA)

Data for a relaxed Pr3Sm5Dy3 crystal.

a b c (Å): 5.4505 9.7672 9.7672
angles (deg): 120.00 90.00 90.00
With the nearest neighbours (Å) after each atom.
Element x y z (fractional)
Sm1 0.5000 0.6667 0.3333  3 Pr 3.13
Sm2 0.5000 0.0000 0.7339  2 Pr 3.16, 2 Dy 3.37
Dy1 0.0000 0.4683 0.4683  2 Pr 3.20, 2 Sm 3.37
Pr1 0.5000 0.0000 0.3602  4 Sm 3.13-3.16, 2 Dy 3.20
Sm3 0.5000 0.2661 0.2661  2 Pr 3.16, 2 Dy 3.37
Dy2 0.0000 0.0000 0.5317  2 Pr 3.20, 2 Sm 3.37
Pr2 0.5000 0.3602 0.0000  4 Sm 3.13-3.16, 2 Dy 3.20
Sm4 0.5000 0.3333 0.6667  3 Pr 3.13
Pr3 0.5000 0.6398 0.6398  4 Sm 3.13-3.16, 2 Dy 3.20
Sm5 0.5000 0.7339 0.0000  2 Pr 3.16, 2 Dy 3.37
Dy3 0.0000 0.5317 0.0000  2 Pr 3.20, 2 Sm 3.37

Calculated values
D(E_F) ... 15.49 states/eV/cell
Polymorph energy (0 for the lowest one) ... 0.021 eV per atom
Symmetry ... P-62m
Volume ... 40.937 Å³ per atom
Formation energy from the elements ... 766 meV per atom
Raw total energy ... -3.937 eV/atom



No. 18
## TiBeAl (PBE-GGA)

Data for a relaxed TiBeAl crystal.

a b c (Å): 2.9563 4.0170 4.0170
angles (deg): 120.00 90.00 90.00
With the nearest neighbours (Å) after each atom.
Element x y z (fractional)
Ti1 0.6667 0.6667 0.3333  6 Be 2.75, 6 Al 2.75, 2 Ti 2.96
Al1 0.1668 0.0000 0.0000  3 Be 2.32
Be1 0.1664 0.3333 0.6667  3 Al 2.32

Calculated values
D(E_F) ... 1.59 states/eV/cell
Polymorph energy (0 for the lowest one) ... 0.000 eV per atom
Symmetry ... P-6m2
Volume ... 13.771 Å³ per atom
Formation energy from the elements ... -288 meV per atom
Raw total energy ... -5.410 eV/atom



No. 19
## Ca5In3 (PBE-GGA)

Data for a relaxed Ca5In3 crystal.

a b c (Å): 6.8842 6.8842 5.3890
angles (deg): 90.00 90.00 104.72
With the nearest neighbours (Å) after each atom.
Element x y z (fractional)
In1 0.2249 0.7751 0.5000  10 Ca 3.41-3.64
In2 0.7751 0.2249 0.5000  10 Ca 3.41-3.64
In3 0.5000 0.5000 0.0000  8 Ca 3.26-3.44
Ca1 0.7176 0.7176 0.5000  6 In 3.26-3.51, 2 Ca 3.59
Ca2 0.2824 0.2824 0.5000  6 In 3.26-3.51, 2 Ca 3.59
Ca3 0.0000 0.0000 0.0000  8 Ca 3.44-3.59, 4 In 3.64
Ca4 0.0000 0.5000 0.0000  6 In 3.43-3.44, 2 Ca 3.44
Ca5 0.5000 0.0000 0.0000  6 In 3.43-3.44, 2 Ca 3.44

Calculated values
D(E_F) ... 4.69 states/eV/cell
Polymorph energy (0 for the lowest one) ... 0.014 eV per atom
Symmetry ... Cmmm
Volume ... 30.877 Å³ per atom
Formation energy from the elements ... -351 meV per atom
Raw total energy ... -2.629 eV/atom